No. 1
The following is a DFT calculation (GGA-PBE) of a relaxed structure of Sr2CaTlS.

The formation energy from raw total energies is -912.4 meV per atom. The total energy comes out at -3.284 eV/atom.

It has space group P4/mmm (No. 123), with a = 5.779 Å, b = 5.779 Å, c = 5.344 Å, α = 90.00°, β = 90.00° and γ = 90.00°. The asymmetric unit holds Sr at (0.000, 0.500, 0.000), Ca at (0.000, 0.000, 0.500), Tl at (0.500, 0.500, 0.500) and S at (0.000, 0.000, 0.000).

---

No. 2
The following is a DFT calculation (GGA-PBE) of a relaxed structure of ZnReP2.

As for the formation energy: 525 meV per atom. The total energy comes out at -5.611 eV/atom.

It has space group I-4m2 (No. 119), with a = 3.670 Å, b = 3.670 Å, c = 8.340 Å, α = 90.00°, β = 90.00° and γ = 90.00°. The asymmetric unit holds Zn at (0.000, 0.000, 0.000), Re at (0.000, 0.500, 0.250), P at (0.000, 0.000, 0.500) and P at (0.000, 0.500, 0.750).

---

No. 3
The following is a DFT calculation (GGA-PBE) of a relaxed structure of NaTa3S.

The formation energy from raw total energies is 2509.1 meV per atom. The relative energy among the computed polymorphs comes out at 1884.9 meV per atom. The total energy comes out at -5.692 eV/atom.

It has space group Pm-3m (No. 221), with a = 4.691 Å, b = 4.691 Å, c = 4.691 Å, α = 90.00°, β = 90.00° and γ = 90.00°. The asymmetric unit holds Na at (0.000, 0.000, 0.000), Ta at (0.000, 0.000, 0.500) and S at (0.500, 0.500, 0.500).

---

No. 4
The following is a DFT calculation (GGA-PBE) of a relaxed structure of BaNbNO2.

The formation energy from raw total energies is 1144.3 meV per atom. The total energy comes out at -4.903 eV/atom.

It has space group P4/mmm (No. 123), with a = 4.556 Å, b = 4.556 Å, c = 4.600 Å, α = 90.00°, β = 90.00° and γ = 90.00°. The asymmetric unit holds Ba at (0.000, 0.000, 0.000), Nb at (0.500, 0.500, 0.500), N at (0.000, 0.000, 0.500) and O at (0.000, 0.500, 0.000).

---

No. 5
The following is a DFT calculation (GGA-PBE) of a relaxed structure of BeVBr3.

The formation energy from raw total energies is 102.8 meV per atom. The relative energy among the computed polymorphs comes out at 0.0 meV per atom. The total energy comes out at -3.470 eV/atom.

It has space group Pm-3m (No. 221), with a = 4.833 Å, b = 4.833 Å, c = 4.833 Å, α = 90.00°, β = 90.00° and γ = 90.00°. The asymmetric unit holds Be at (0.000, 0.000, 0.000), V at (0.500, 0.500, 0.500) and Br at (0.000, 0.000, 0.500).

---

No. 6
The following is a DFT calculation (GGA-PBE) of a relaxed structure of SrErMg2Hg4.

As for the formation energy: -412 meV per atom. The total energy comes out at -1.742 eV/atom.

It has space group R-3m (No. 166, hexagonal axes), with a = 5.0996 Å, b = 5.0996 Å, c = 26.1980 Å, α = 90.00°, β = 90.00° and γ = 120.00°. The asymmetric unit holds Sr at (0.0000, 0.0000, 0.0000), Er at (0.0000, 0.0000, 0.5000), Mg at (0.0000, 0.0000, 0.2457), Hg at (0.0000, 0.0000, 0.1273) and Hg at (0.0000, 0.0000, 0.3832).

---

No. 7
The following is a DFT calculation (GGA-PBE) of a relaxed structure of Ac3DyTc2N6.

The formation energy from raw total energies is -788.5 meV per atom. The total energy comes out at -8.089 eV/atom.

It has space group P-3m1 (No. 164), with a = 6.0631 Å, b = 6.0631 Å, c = 6.9218 Å, α = 90.00°, β = 90.00° and γ = 120.00°. The asymmetric unit holds Ac at (0.0000, 0.0000, 0.0000), Ac at (0.3333, 0.6667, 0.6810), Dy at (0.0000, 0.0000, 0.5000), Tc at (0.3333, 0.6667, 0.1906) and N at (0.1707, 0.3415, 0.2910).

---

No. 8
The following is a DFT calculation (GGA-PBE) of a relaxed structure of ZnH2ClO.

The total energy comes out at -2.488 eV/atom.

It has space group P4/mmm (No. 123), with a = 3.238 Å, b = 3.238 Å, c = 5.528 Å, α = 90.00°, β = 90.00° and γ = 90.00°. The asymmetric unit holds Zn at (0.000, 0.000, 0.000), H at (0.000, 0.500, 0.000), Cl at (0.000, 0.000, 0.500) and O at (0.500, 0.500, 0.500).

---

No. 9
The following is a DFT calculation (GGA-PBE) of a relaxed structure of Li2Cd6Ga.

The relative energy among the computed polymorphs comes out at 0.0 meV per atom. As for the formation energy: -127 meV per atom. The total energy comes out at -1.499 eV/atom.

It has space group C2/m (No. 12), with a = 9.513 Å, b = 4.370 Å, c = 9.256 Å, α = 90.00°, β = 107.30° and γ = 90.00°. The asymmetric unit holds Li at (0.161, 0.000, 0.211), Cd at (0.003, 0.500, 0.325), Cd at (0.167, 0.000, 0.891), Cd at (0.171, 0.000, 0.563) and Ga at (0.000, 0.500, 0.000).

---

No. 10
The following is a DFT calculation (GGA-PBE) of a relaxed structure of LiTb2GePd6.

As for the formation energy: -596 meV per atom. The total energy comes out at -5.291 eV/atom.

It has space group P-1 (No. 2), with a = 5.596 Å, b = 5.677 Å, c = 7.103 Å, α = 70.62°, β = 77.88° and γ = 60.67°. The asymmetric unit holds Li at (0.000, 0.000, 0.000), Tb at (0.144, 0.337, 0.260), Ge at (0.500, 0.500, 0.500), Pd at (0.060, 0.841, 0.353), Pd at (0.360, 0.635, 0.826) and Pd at (0.379, 0.144, 0.809).

---

No. 11
The following is a DFT calculation (GGA-PBE) of a relaxed structure of NaHgRh2N.

The formation energy from raw total energies is 69.4 meV per atom. The total energy comes out at -4.860 eV/atom.

It has space group P4/mmm (No. 123), with a = 4.042 Å, b = 4.042 Å, c = 4.669 Å, α = 90.00°, β = 90.00° and γ = 90.00°. The asymmetric unit holds Na at (0.000, 0.000, 0.000), Hg at (0.500, 0.500, 0.000), Rh at (0.000, 0.500, 0.500) and N at (0.000, 0.000, 0.500).

---

No. 12
The following is a DFT calculation (GGA-PBE) of a relaxed structure of SrScAs2.

The relative energy among the computed polymorphs comes out at 196.0 meV per atom. As for the formation energy: -894 meV per atom. The total energy comes out at -5.222 eV/atom.

It has space group P4/mmm (No. 123), with a = 4.183 Å, b = 4.183 Å, c = 5.859 Å, α = 90.00°, β = 90.00° and γ = 90.00°. The asymmetric unit holds Sr at (0.000, 0.000, 0.000), Sc at (0.500, 0.500, 0.500), As at (0.000, 0.000, 0.500) and As at (0.500, 0.500, 0.000).

---

No. 13
The following is a DFT calculation (GGA-PBE) of a relaxed structure of AlSi2Au.

The formation energy from raw total energies is 239.9 meV per atom. The total energy comes out at -4.227 eV/atom.

It has space group Imm2 (No. 44), with a = 2.682 Å, b = 4.942 Å, c = 9.992 Å, α = 90.00°, β = 90.00° and γ = 90.00°. The asymmetric unit holds Al at (0.000, 0.000, 0.000), Si at (0.000, 0.000, 0.470), Si at (0.000, 0.500, 0.742) and Au at (0.000, 0.500, 0.243).

---

No. 14
The following is a DFT calculation (GGA-PBE) of a relaxed structure of Tm4Bi2Sb.

The formation energy from raw total energies is -585.9 meV per atom. The total energy comes out at -4.839 eV/atom.

It has space group I2_12_12_1 (No. 24), with a = 9.495 Å, b = 9.511 Å, c = 9.525 Å, α = 90.00°, β = 90.00° and γ = 90.00°. The asymmetric unit holds Tm at (0.065, 0.056, 0.060), Tm at (0.185, 0.310, 0.806), Bi at (0.000, 0.250, 0.311), Bi at (0.250, 0.438, 0.500) and Sb at (0.125, 0.000, 0.750).

---

No. 15
The following is a DFT calculation (GGA-PBE) of a relaxed structure of AlBPO2.

The formation energy from raw total energies is -222.5 meV per atom. The relative energy among the computed polymorphs comes out at 48.3 meV per atom. The total energy comes out at -5.372 eV/atom.

It has space group P4/mmm (No. 123), with a = 3.189 Å, b = 3.189 Å, c = 6.666 Å, α = 90.00°, β = 90.00° and γ = 90.00°. The asymmetric unit holds Al at (0.000, 0.000, 0.000), B at (0.500, 0.500, 0.500), P at (0.500, 0.500, 0.000) and O at (0.000, 0.500, 0.500).

---

No. 16
The following is a DFT calculation (GGA-PBE) of a relaxed structure of OsAu3O.

The formation energy from raw total energies is 1879.6 meV per atom. The relative energy among the computed polymorphs comes out at 717.5 meV per atom. The total energy comes out at -3.324 eV/atom.

It has space group Pm-3m (No. 221), with a = 4.996 Å, b = 4.996 Å, c = 4.996 Å, α = 90.00°, β = 90.00° and γ = 90.00°. The asymmetric unit holds Os at (0.000, 0.000, 0.000), Au at (0.000, 0.000, 0.500) and O at (0.500, 0.500, 0.500).

---

No. 17
The following is a DFT calculation (GGA-PBE) of a relaxed structure of TlTeH.

The relative energy among the computed polymorphs comes out at 65.0 meV per atom. The total energy comes out at -2.994 eV/atom.

It has space group P2_1/c (No. 14), with a = 8.190 Å, b = 12.428 Å, c = 7.051 Å, α = 90.00°, β = 93.37° and γ = 90.00°. The asymmetric unit holds Tl at (0.168, 0.094, 0.495), Tl at (0.303, 0.608, 0.347), Te at (0.026, 0.167, 0.902), Te at (0.491, 0.654, 0.759), H at (0.149, 0.107, 0.072) and H at (0.361, 0.589, 0.898).

---

No. 18
The following is a DFT calculation (GGA-PBE) of a relaxed structure of ZnOsPdW2.

As for the formation energy: 2138 meV per atom. The total energy comes out at -6.583 eV/atom.

It has space group P4/mmm (No. 123), with a = 4.712 Å, b = 4.712 Å, c = 4.377 Å, α = 90.00°, β = 90.00° and γ = 90.00°. The asymmetric unit holds Zn at (0.000, 0.000, 0.000), Os at (0.500, 0.500, 0.000), Pd at (0.000, 0.000, 0.500) and W at (0.000, 0.500, 0.500).

---

No. 19
The following is a DFT calculation (GGA-PBE) of a relaxed structure of ScAlTeO6.

The formation energy from raw total energies is -2281.0 meV per atom. The total energy comes out at -7.055 eV/atom.

It has space group P-31c (No. 163), with a = 5.0097 Å, b = 5.0097 Å, c = 9.2460 Å, α = 90.00°, β = 90.00° and γ = 120.00°. The asymmetric unit holds Sc at (0.0000, 0.0000, 0.0000), Al at (0.3333, 0.6667, 0.2500), Te at (0.3333, 0.6667, 0.7500) and O at (0.0038, 0.3554, 0.1358).

---

No. 20
The following is a DFT calculation (GGA-PBE) of a relaxed structure of K2PrReN4.

The formation energy from raw total energies is -567.4 meV per atom. The total energy comes out at -7.158 eV/atom.

It has space group I-4 (No. 82), with a = 6.039 Å, b = 6.039 Å, c = 9.208 Å, α = 90.00°, β = 90.00° and γ = 90.00°. The asymmetric unit holds K at (0.000, 0.000, 0.000), K at (0.000, 0.500, 0.250), Pr at (0.000, 0.000, 0.500), Re at (0.000, 0.500, 0.750) and N at (0.144, 0.293, 0.638).

---

No. 21
The following is a DFT calculation (GGA-PBE) of a relaxed structure of Sn2GeAu.

As for the formation energy: 102 meV per atom. The total energy comes out at -3.873 eV/atom.

It has space group I-42d (No. 122), with a = 6.318 Å, b = 6.318 Å, c = 12.228 Å, α = 90.00°, β = 90.00° and γ = 90.00°. The asymmetric unit holds Sn at (0.248, 0.250, 0.125), Ge at (0.000, 0.000, 0.000) and Au at (0.000, 0.000, 0.500).

---

No. 22
The following is a DFT calculation (GGA-PBE) of a relaxed structure of Cd3O2.

The formation energy from raw total energies is -600.8 meV per atom. The relative energy among the computed polymorphs comes out at 166.0 meV per atom. The total energy comes out at -3.133 eV/atom.

It has space group C2/c (No. 15), with a = 11.360 Å, b = 5.375 Å, c = 7.893 Å, α = 90.00°, β = 133.63° and γ = 90.00°. The asymmetric unit holds Cd at (0.000, 0.043, 0.250), Cd at (0.155, 0.490, 0.022) and O at (0.125, 0.287, 0.734).

---

No. 23
The following is a DFT calculation (GGA-PBE) of a relaxed structure of FeBiIr3.

The relative energy among the computed polymorphs comes out at 0.0 meV per atom. As for the formation energy: 1171 meV per atom. The total energy comes out at -6.615 eV/atom.

It has space group Pm-3m (No. 221), with a = 4.548 Å, b = 4.548 Å, c = 4.548 Å, α = 90.00°, β = 90.00° and γ = 90.00°. The asymmetric unit holds Fe at (0.000, 0.000, 0.000), Bi at (0.500, 0.500, 0.500) and Ir at (0.000, 0.000, 0.500).

---

No. 24
The following is a DFT calculation (GGA-PBE) of a relaxed structure of PrNdRu.

The relative energy among the computed polymorphs comes out at 60.2 meV per atom. As for the formation energy: -77 meV per atom. The total energy comes out at -6.351 eV/atom.

It has space group P3m1 (No. 156), with a = 4.1438 Å, b = 4.1438 Å, c = 6.3140 Å, α = 90.00°, β = 90.00° and γ = 120.00°. The asymmetric unit holds Pr at (0.0000, 0.0000, 0.0000), Nd at (0.3333, 0.6667, 0.4752) and Ru at (0.6667, 0.3333, 0.2404).

---

No. 25
The following is a DFT calculation (GGA-PBE) of a relaxed structure of CaMgGa2Si.

The formation energy from raw total energies is 861.8 meV per atom. The total energy comes out at -2.153 eV/atom.

It has space group P4/mmm (No. 123), with a = 5.445 Å, b = 5.445 Å, c = 5.402 Å, α = 90.00°, β = 90.00° and γ = 90.00°. The asymmetric unit holds Ca at (0.000, 0.000, 0.000), Mg at (0.500, 0.500, 0.500), Ga at (0.000, 0.500, 0.000) and Si at (0.000, 0.000, 0.500).